Record 1
The following is a DFT calculation (PBE) of a geometry-optimized GaAgTeI2 structure.

Unit cell a=5.7532 b=5.7532 c=5.4847 alpha=90.00 beta=90.00 gamma=90.00
Sites, in units of the cell vectors:
Ga (0.5000, 0.5000, 0.5000)
I (0.5000, 0.0000, 0.0000)
I (0.0000, 0.5000, 0.0000)
Te (0.0000, 0.0000, 0.5000)
Ag (0.0000, 0.0000, 0.0000)

## Properties
Density: 5113 kg/m³
Calculated volume: 36.31 Å³/atom
ΔE_f (raw): 157 meV/atom
Energy: -11.334 eV/f.u.
DOS at the Fermi energy: 5.71 states/eV/f.u.
Spin magnetization: 0.00 Bohr magnetons per cell

***

Record 2
The following is a DFT calculation (PBE) of a geometry-optimized TlGaAgI3 structure.

Unit cell a=4.5941 b=11.2393 c=9.4410 alpha=104.09 beta=90.00 gamma=90.00
Sites, in units of the cell vectors:
Ga (0.7500, 0.9185, 0.4557)
Tl (0.7500, 0.8212, 0.7801)
Ga (0.2500, 0.0815, 0.5443)
I (0.7500, 0.3893, 0.1193)
I (0.2500, 0.6107, 0.8807)
I (0.7500, 0.9381, 0.1632)
Ag (0.2500, 0.5531, 0.1660)
I (0.2500, 0.7268, 0.4338)
I (0.2500, 0.0619, 0.8368)
I (0.7500, 0.2732, 0.5662)
Tl (0.2500, 0.1788, 0.2199)
Ag (0.7500, 0.4469, 0.8340)

## Properties
Density: 5357 kg/m³
Calculated volume: 39.40 Å³/atom
ΔE_f (raw): -387 meV/atom
Energy: -15.217 eV/f.u.
DOS at the Fermi energy: 0.00 states/eV/f.u.
Spin magnetization: 0.00 Bohr magnetons per cell

***

Record 3
The following is a DFT calculation (PBE) of a geometry-optimized Tl3Ga2AgI6 structure.

Unit cell a=8.2223 b=8.2223 c=8.3772 alpha=99.54 beta=99.54 gamma=119.58
Sites, in units of the cell vectors:
Ag (0.0000, 0.0000, 0.0000)
I (0.7573, 0.7573, 0.2312)
I (0.9286, 0.6136, 0.7830)
I (0.6136, 0.9286, 0.7830)
Tl (0.5000, 0.5000, 0.5000)
I (0.3864, 0.0714, 0.2170)
Ga (0.6656, 0.3344, 0.0000)
Ga (0.3344, 0.6656, 0.0000)
I (0.0714, 0.3864, 0.2170)
Tl (0.1714, 0.8286, 0.5000)
Tl (0.8286, 0.1714, 0.5000)
I (0.2427, 0.2427, 0.7688)

## Properties
Density: 5791 kg/m³
Calculated volume: 38.75 Å³/atom
ΔE_f (raw): -461 meV/atom
Energy: -30.831 eV/f.u.
DOS at the Fermi energy: 0.00 states/eV/f.u.
Spin magnetization: 0.00 Bohr magnetons per cell

***

Record 4
The following is a DFT calculation (PBE) of a geometry-optimized TlGa2AgI8 structure.

Unit cell a=7.4160 b=7.4160 c=10.5432 alpha=90.00 beta=90.00 gamma=120.00
Sites, in units of the cell vectors:
I (0.6744, 0.6797, 0.6800)
Ga (0.3333, 0.6667, 0.7545)
Ag (0.0000, 0.0000, 0.5000)
I (0.9947, 0.6744, 0.3200)
I (0.3333, 0.6667, 0.9987)
Ga (0.6667, 0.3333, 0.2455)
I (0.3203, 0.9947, 0.6800)
I (0.3256, 0.3203, 0.3200)
I (0.6667, 0.3333, 0.0013)
I (0.6797, 0.0053, 0.3200)
Tl (0.0000, 0.0000, 0.0000)
I (0.0053, 0.3256, 0.6800)

## Properties
Density: 4851 kg/m³
Calculated volume: 41.85 Å³/atom
ΔE_f (raw): -458 meV/atom
Energy: -29.168 eV/f.u.
DOS at the Fermi energy: 0.00 states/eV/f.u.
Spin magnetization: 0.00 Bohr magnetons per cell

***

Record 5
The following is a DFT calculation (PBE) of a geometry-optimized Tl2GaAgI4 structure.

Unit cell a=4.6994 b=8.3546 c=8.1738 alpha=71.17 beta=90.00 gamma=90.00
Sites, in units of the cell vectors:
I (0.5000, 0.2857, 0.7263)
I (0.5000, 0.7143, 0.2737)
Ga (0.5000, 0.5000, 0.0000)
Tl (0.5000, 0.0000, 0.5000)
I (0.0000, 0.2795, 0.2535)
Ag (0.0000, 0.5000, 0.5000)
I (0.0000, 0.7205, 0.7465)
Tl (0.0000, 0.0000, 0.0000)

## Properties
Density: 5981 kg/m³
Calculated volume: 37.97 Å³/atom
ΔE_f (raw): -439 meV/atom
Energy: -20.326 eV/f.u.
DOS at the Fermi energy: 0.00 states/eV/f.u.
Spin magnetization: 0.00 Bohr magnetons per cell

***

Record 6
The following is a DFT calculation (PBE) of a geometry-optimized GaAg2WI structure.

Unit cell a=4.8168 b=5.9868 c=4.8168 alpha=90.00 beta=90.00 gamma=90.00
Each line ends with the local moment (μB).
Sites, in units of the cell vectors:
Ag (0.5000, 0.0000, 0.0000)  0.00
Ga (0.0000, 0.0000, 0.0000)  -0.06
Ag (0.0000, 0.0000, 0.5000)  -0.03
I (0.0000, 0.5000, 0.0000)  -0.02
W (0.5000, 0.5000, 0.5000)  3.32

## Properties
Density: 7127 kg/m³
Calculated volume: 27.78 Å³/atom
ΔE_f (raw): 1476 meV/atom
Energy: -15.851 eV/f.u.
DOS at the Fermi energy: 2.64 states/eV/f.u.
Spin magnetization: 4.49 Bohr magnetons per cell

***

Record 7
The following is a DFT calculation (PBE) of a geometry-optimized In2GaAg structure.

Unit cell a=3.2009 b=3.2009 c=8.6067 alpha=90.00 beta=90.00 gamma=90.00
Sites, in units of the cell vectors:
In (0.0000, 0.0000, 0.7642)
Ga (0.5000, 0.5000, 0.5000)
Ag (0.5000, 0.5000, 0.0000)
In (0.0000, 0.0000, 0.2358)

## Properties
Density: 7669 kg/m³
Formation energy from the elements: 42.5 meV/atom
Calculated volume: 22.05 Å³/atom
Energy: -11.185 eV/f.u.
DOS at the Fermi energy: 1.61 states/eV/f.u.
Spin magnetization: 0.00 Bohr magnetons per cell

***

Record 8
The following is a DFT calculation (PBE) of a geometry-optimized In4GaAg2 structure.

Unit cell a=4.5785 b=5.9549 c=6.8938 alpha=109.74 beta=109.40 gamma=90.00
Sites, in units of the cell vectors:
Ga (0.0000, 0.0000, 0.0000)
In (0.8260, 0.1981, 0.6521)
In (0.5536, 0.3179, 0.1072)
In (0.1740, 0.8019, 0.3479)
Ag (0.2148, 0.3324, 0.4296)
In (0.4464, 0.6821, 0.8928)
Ag (0.7852, 0.6676, 0.5704)

## Properties
Density: 7471 kg/m³
Formation energy from the elements: 21.2 meV/atom
Calculated volume: 23.65 Å³/atom
Energy: -19.535 eV/f.u.
DOS at the Fermi energy: 2.94 states/eV/f.u.
Spin magnetization: 0.00 Bohr magnetons per cell

***

Please write out number 1 again, unchanged.
The following is a DFT calculation (PBE) of a geometry-optimized GaAgTeI2 structure.

Unit cell a=5.7532 b=5.7532 c=5.4847 alpha=90.00 beta=90.00 gamma=90.00
Sites, in units of the cell vectors:
Ga (0.5000, 0.5000, 0.5000)
I (0.5000, 0.0000, 0.0000)
I (0.0000, 0.5000, 0.0000)
Te (0.0000, 0.0000, 0.5000)
Ag (0.0000, 0.0000, 0.0000)

## Properties
Density: 5113 kg/m³
Calculated volume: 36.31 Å³/atom
ΔE_f (raw): 157 meV/atom
Energy: -11.334 eV/f.u.
DOS at the Fermi energy: 5.71 states/eV/f.u.
Spin magnetization: 0.00 Bohr magnetons per cell